Here is YTcSe2 after structural relaxation from Alexandria via LeMat-Bulk. Energies are from GGA-PBE.

a b c (Å): 8.3542 8.3542 8.3542
angles (deg): 27.42 27.42 27.42
With the nearest neighbours (Å) after each atom.
Fractional coordinates of all 4 atoms:
Y1 0.7497 0.7497 0.7497  3 Se 2.75
Se1 0.0198 0.0198 0.0198  3 Y 2.75
Se2 0.2119 0.2119 0.2119  3 Tc 2.37
Tc1 0.5186 0.5186 0.5186  3 Se 2.37

Properties
energy relative to the lowest polymorph listed for this composition: 336.7 meV per atom
calculated density: 5.25 g/cm3
D(E_F): 0.878 states/eV per atom
VASP energy: -6.42 eV per atom
uncorrected formation energy: -0.473 eV per atom
SG: No. 160

=====

Here is Ce4Te2N after structural relaxation from Alexandria via LeMat-Bulk. Energies are from GGA-PBE.

a b c (Å): 3.9156 7.0051 8.1417
angles (deg): 115.51 103.91 90.00
With the nearest neighbours (Å) after each atom.
Fractional coordinates of all 7 atoms:
Ce1 0.5984 0.2395 0.1968  2 N 2.60
Ce2 0.9065 0.2009 0.8130  1 N 2.45
Ce3 0.0935 0.7991 0.1870  1 N 2.45
Ce4 0.4016 0.7605 0.8032  2 N 2.60
Te1 0.2626 0.2644 0.5251  6 Ce 3.17-3.19
Te2 0.7374 0.7356 0.4749  6 Ce 3.17-3.19
N1 0.0000 0.0000 0.0000  6 Ce 2.45-2.60

Properties
calculated density: 7.09 g/cm3
D(E_F): 3.425 states/eV per atom
VASP energy: -6.46 eV per atom
uncorrected formation energy: -0.987 eV per atom
SG: No. 12

=====

Here is K3Tm3ZrTe8 after structural relaxation from Alexandria via LeMat-Bulk. Energies are from GGA-PBE.

a b c (Å): 8.6988 8.6960 9.8145
angles (deg): 116.29 90.00 120.01
With the nearest neighbours (Å) after each atom.
Fractional coordinates of all 15 atoms:
Te1 0.7709 0.5419 0.2991  1 Zr 2.97, 2 Tm 3.06
Te2 0.2645 0.5290 0.2936  3 Tm 3.05
Te3 0.7710 0.0281 0.2992  1 Zr 2.97, 2 Tm 3.06
Te4 0.2291 0.4581 0.7009  1 Zr 2.97, 2 Tm 3.06
Te5 0.7355 0.4710 0.7064  3 Tm 3.05
Te6 0.2571 0.0281 0.2992  1 Zr 2.97, 2 Tm 3.06
Te7 0.7429 0.9719 0.7008  1 Zr 2.97, 2 Tm 3.06
Te8 0.2290 0.9719 0.7008  1 Zr 2.97, 2 Tm 3.06
K1 0.5000 0.5000 0.0000  6 Te 3.53-3.54
K2 0.0000 0.5000 0.0000  6 Te 3.53-3.54
K3 0.0000 0.0000 0.0000  6 Te 3.53-3.54
Tm1 0.0000 0.5000 0.5000  6 Te 3.05-3.06
Tm2 0.5000 0.5000 0.5000  6 Te 3.05-3.06
Tm3 0.5000 0.0000 0.5000  6 Te 3.05-3.06
Zr1 0.0000 0.0000 0.5000  6 Te 2.97

Properties
calculated density: 5.22 g/cm3
VASP energy: -4.62 eV per atom
uncorrected formation energy: -1.260 eV per atom
SG: No. 166

=====

Here is ErZrAu after structural relaxation from Alexandria via LeMat-Bulk. Energies are from GGA-PBE.

a b c (Å): 3.4078 3.4078 6.4342
angles (deg): 105.36 105.36 90.00
With the nearest neighbours (Å) after each atom.
Fractional coordinates of all 3 atoms:
Er1 0.3263 0.3263 0.6527  4 Au 3.12, 4 Zr 3.29, 4 Er 3.41
Zr1 0.0136 0.0136 0.0272  4 Au 2.98, 4 Er 3.29
Au1 0.6601 0.6601 0.3202  4 Zr 2.98, 4 Er 3.12

Properties
energy relative to the lowest polymorph listed for this composition: 52.5 meV per atom
calculated density: 10.92 g/cm3
D(E_F): 1.489 states/eV per atom
DFT formation energy: -41 kJ per mole of atoms
VASP energy: -5.89 eV per atom
SG: No. 107

=====

Here is Tb4ThMg5 after structural relaxation from Alexandria via LeMat-Bulk. Energies are from GGA-PBE.

a b c (Å): 3.8005 3.8005 19.0871
angles (deg): 90.00 90.00 90.00
With the nearest neighbours (Å) after each atom.
Fractional coordinates of all 10 atoms:
Tb1 0.0000 0.0000 0.4008  8 Mg 3.29
Tb2 0.0000 0.0000 0.2015  8 Mg 3.26-3.30
Tb3 0.0000 0.0000 0.7985  8 Mg 3.26-3.30
Tb4 0.0000 0.0000 0.5992  8 Mg 3.29
Mg1 0.5000 0.5000 0.8955  4 Tb 3.26, 4 Th 3.35
Mg2 0.5000 0.5000 0.3015  8 Tb 3.29-3.30
Mg3 0.5000 0.5000 0.5000  8 Tb 3.29
Mg4 0.5000 0.5000 0.6985  8 Tb 3.29-3.30
Mg5 0.5000 0.5000 0.1045  4 Tb 3.26, 4 Th 3.35
Th1 0.0000 0.0000 0.0000  8 Mg 3.35

Properties
calculated density: 5.96 g/cm3
D(E_F): 1.209 states/eV per atom
DFT formation energy: -5 kJ per mole of atoms
VASP energy: -3.44 eV per atom
SG: No. 123

=====

Here is NaSbPO2 after structural relaxation from Alexandria via LeMat-Bulk. Energies are from GGA-PBE.

a b c (Å): 4.0370 4.0370 5.2621
angles (deg): 90.00 90.00 90.00
With the nearest neighbours (Å) after each atom.
Fractional coordinates of all 5 atoms:
Na1 0.5000 0.5000 0.5000  4 P 2.85
P1 0.0000 0.0000 0.5000  2 Sb 2.63, 4 Na 2.85
Sb1 0.0000 0.0000 0.0000  4 O 2.02
O1 0.0000 0.5000 0.0000  2 Sb 2.02
O2 0.5000 0.0000 0.0000  2 Sb 2.02

Properties
energy relative to the lowest polymorph listed for this composition: 0.0 meV per atom
calculated density: 4.02 g/cm3
D(E_F): 0.518 states/eV per atom
VASP energy: -4.63 eV per atom
uncorrected formation energy: -0.478 eV per atom
SG: No. 123

=====

Here is SrSm2Rh after structural relaxation from Alexandria via LeMat-Bulk. Energies are from GGA-PBE.

a b c (Å): 4.1537 4.1537 9.8919
angles (deg): 77.88 77.88 60.00
With the nearest neighbours (Å) after each atom.
Fractional coordinates of all 4 atoms:
Sr1 0.5013 0.5013 0.4962  6 Sm 4.07-4.15, 6 Sr 4.15
Sm1 0.0505 0.0505 0.8486  3 Rh 2.81
Sm2 0.2820 0.2820 0.1539  3 Rh 2.81
Rh1 0.6663 0.6663 0.0012  6 Sm 2.81

Properties
energy relative to the lowest polymorph listed for this composition: 0.0 meV per atom
calculated density: 5.69 g/cm3
D(E_F): 1.131 states/eV per atom
DFT formation energy: -35 kJ per mole of atoms
VASP energy: -4.98 eV per atom
SG: No. 160

=====

Here is ScBeNb after structural relaxation from Alexandria via LeMat-Bulk. Energies are from GGA-PBE.

a b c (Å): 5.4220 4.4692 9.4369
angles (deg): 90.00 120.01 90.00
With the nearest neighbours (Å) after each atom.
Fractional coordinates of all 12 atoms:
Nb1 0.5876 0.0000 0.0622  3 Be 2.54
Nb2 0.8141 0.5000 0.9675  2 Be 2.64-2.84, 2 Nb 2.90, 3 Sc 2.94-2.95
Nb3 0.5876 0.5000 0.5622  3 Be 2.54
Nb4 0.8141 0.0000 0.4675  2 Be 2.64-2.84, 2 Nb 2.90, 3 Sc 2.94-2.95
Sc1 0.9384 0.5000 0.3087  1 Be 2.52
Sc2 0.9384 0.0000 0.8087  1 Be 2.52
Sc3 0.1994 0.5000 0.6987  3 Be 2.50-2.69
Sc4 0.1994 0.0000 0.1987  3 Be 2.50-2.69
Be1 0.3360 0.0000 0.5144  1 Be 2.10
Be2 0.3360 0.5000 0.0144  1 Be 2.10
Be3 0.4365 0.5000 0.2605  1 Be 2.10
Be4 0.4365 0.0000 0.7605  1 Be 2.10

Properties
energy relative to the lowest polymorph listed for this composition: 55.6 meV per atom
calculated density: 4.93 g/cm3
D(E_F): 0.493 states/eV per atom
DFT formation energy: 5 kJ per mole of atoms
VASP energy: -6.66 eV per atom
SG: No. 8

=====

Here is In2HgSe after structural relaxation from Alexandria via LeMat-Bulk. Energies are from GGA-PBE.

a b c (Å): 5.3642 5.3642 5.3642
angles (deg): 60.00 60.00 60.00
With the nearest neighbours (Å) after each atom.
Fractional coordinates of all 4 atoms:
In1 0.0000 0.0000 0.0000  4 In 3.28, 4 Se 3.28
In2 0.2500 0.2500 0.2500  4 Hg 3.28, 4 In 3.28
Hg1 0.5000 0.5000 0.5000  4 In 3.28, 4 Se 3.28
Se1 0.7500 0.7500 0.7500  4 In 3.28, 4 Hg 3.28

Properties
energy relative to the lowest polymorph listed for this composition: 258.0 meV per atom
calculated density: 7.75 g/cm3
D(E_F): 0.554 states/eV per atom
VASP energy: -2.31 eV per atom
uncorrected formation energy: 0.008 eV per atom
SG: No. 216

=====

Here is LuThH2 after structural relaxation from Alexandria via LeMat-Bulk. Energies are from GGA-PBE.

a b c (Å): 3.5239 3.5239 6.1703
angles (deg): 73.41 73.41 60.00
With the nearest neighbours (Å) after each atom.
Fractional coordinates of all 4 atoms:
Th1 0.0000 0.0000 0.0000  6 H 2.52
H1 0.2486 0.2486 0.2543  3 Lu 2.49, 3 Th 2.52
H2 0.7514 0.7514 0.7457  3 Lu 2.49, 3 Th 2.52
Lu1 0.5000 0.5000 0.5000  6 H 2.49

Properties
calculated density: 10.84 g/cm3
D(E_F): 0.600 states/eV per atom
VASP energy: -4.96 eV per atom
SG: No. 166

=====

Here is Li4F3 after structural relaxation from Alexandria via LeMat-Bulk. Energies are from GGA-PBE.

a b c (Å): 2.8888 2.8888 9.9062
angles (deg): 81.62 81.62 60.00
With the nearest neighbours (Å) after each atom.
Fractional coordinates of all 7 atoms:
Li1 0.8792 0.8792 0.3624  3 F 2.04
Li2 0.3735 0.3735 0.8794  6 F 2.04
Li3 0.1208 0.1208 0.6376  3 F 2.04
Li4 0.6265 0.6265 0.1206  6 F 2.04
F1 0.7471 0.7471 0.7586  6 Li 2.04
F2 0.0000 0.0000 0.0000  6 Li 2.04
F3 0.2529 0.2529 0.2414  6 Li 2.04

Properties
calculated density: 1.99 g/cm3
D(E_F): 0.042 states/eV per atom
VASP energy: -4.38 eV per atom
uncorrected formation energy: -2.487 eV per atom
SG: No. 166

=====

Here is CdCuSn2 after structural relaxation from Alexandria via LeMat-Bulk. Energies are from GGA-PBE.

a b c (Å): 4.2113 4.6083 4.6083
angles (deg): 90.00 90.00 90.00
With the nearest neighbours (Å) after each atom.
Fractional coordinates of all 4 atoms:
Cd1 0.5000 0.5000 0.5000  8 Sn 3.12, 4 Cu 3.26
Cu1 0.5000 0.0000 0.0000  8 Sn 3.12, 4 Cd 3.26
Sn1 0.0000 0.5000 0.0000  4 Cd 3.12, 4 Cu 3.12, 4 Sn 3.26
Sn2 0.0000 0.0000 0.5000  4 Cd 3.12, 4 Cu 3.12, 4 Sn 3.26

Properties
calculated density: 7.68 g/cm3
D(E_F): 0.504 states/eV per atom
DFT formation energy: 19 kJ per mole of atoms
VASP energy: -3.06 eV per atom
SG: No. 123

=====

Here is RbAlCo2 after structural relaxation from Alexandria via LeMat-Bulk. Energies are from GGA-PBE.

a b c (Å): 4.5982 4.5982 4.5982
angles (deg): 60.00 60.00 60.00
With the nearest neighbours (Å) after each atom.
Fractional coordinates of all 4 atoms:
Al1 0.0000 0.0000 0.0000  8 Co 2.82
Co1 0.2500 0.2500 0.2500  4 Rb 2.82, 4 Al 2.82
Co2 0.7500 0.7500 0.7500  4 Al 2.82, 4 Rb 2.82
Rb1 0.5000 0.5000 0.5000  8 Co 2.82

Properties
energy relative to the lowest polymorph listed for this composition: 431.3 meV per atom
calculated density: 5.56 g/cm3
D(E_F): 1.309 states/eV per atom
DFT formation energy: 117 kJ per mole of atoms
VASP energy: -3.52 eV per atom
SG: No. 225